1.
First-principles (PBE) data for an optimized crystal structure of Na2Mg2Pb, as listed in the Alexandria database.

Output
Its energy of formation is 0.04 eV per atom. As for the space group: No. 127. For the distance to the lowest polymorph of the same formula, the calculation gives 0.000 eV/atom. The density of states at the Fermi level is 0.3812 states/eV per atom.

```
Na2Mg2Pb
1.0
-0.972 5.850 -4.733
-1.149 -4.832 -5.736
-5.135 -0.012 1.039
Pb Na Mg
2 4 4
direct
0.000 0.000 0.000
0.500 0.500 0.000
0.671 0.829 0.500
0.829 0.329 0.500
0.171 0.671 0.500
0.329 0.171 0.500
0.137 0.363 0.000
0.637 0.137 0.000
0.363 0.863 0.000
0.863 0.637 0.000
```

=====

2.
First-principles (PBE) data for an optimized crystal structure of Sm5HoZn4, as listed in the Alexandria database.

Output
Its energy of formation is -0.25 eV per atom. As for the space group: No. 123. The density of states at the Fermi level is 1.1347 states/eV per atom.

```
Sm5HoZn4
1.0
-2.946 1.748 -1.219
-2.126 -2.260 1.896
0.830 12.102 15.353
Sm Zn Ho
5 4 1
direct
0.500 0.500 0.129
0.500 0.500 0.871
0.500 0.500 0.500
0.500 0.500 0.314
0.500 0.500 0.686
0.000 0.000 0.779
0.000 0.000 0.406
0.000 0.000 0.594
0.000 0.000 0.221
0.000 0.000 0.000
```